[1]
The following is a GGA-PBE calculation of crystalline La2ZrZn at its relaxed geometry, from Alexandria via LeMat-Bulk.

Geometry as POSCAR:
```
La2ZrZn
1.0
-2.591 -3.092 1.844
0.504 -2.561 -3.586
7.840 -7.524 3.732
Zn Zr La
2 2 4
Cartesian
-1.043 -2.827 -0.871
3.650 -6.456 -0.362
0.000 0.000 0.000
2.103 -6.721 2.353
0.430 -4.102 1.618
1.924 -3.900 -1.059
5.102 -7.790 2.109
4.048 -10.563 1.312
```

Results
- final energy (eV per cell) = -36.44
- magnetization (μB/cell) = 0.00
- V (Å³/atom) = 27.18
- D(E_F) (states/eV per atom) = 1.2671
- formation energy from the elements (eV per atom) = 0.36

[2]
The following is a GGA-PBE calculation of crystalline Pu2AgHg4 at its relaxed geometry, from Alexandria via LeMat-Bulk.

Geometry as POSCAR:
```
Pu2AgHg4
1.0
3.011 0.000 0.000
0.000 3.076 0.000
0.000 -1.538 20.381
Pu Ag Hg
2 1 4
Cartesian
1.505 0.000 8.716
1.505 1.538 11.664
0.000 1.538 0.000
1.505 1.538 14.784
0.000 1.538 2.825
1.505 0.000 5.597
0.000 0.000 17.556
```

Results
- final energy (eV per cell) = -30.75
- magnetization (μB/cell) = 12.38
- V (Å³/atom) = 26.97
- E above lowest polymorph (kJ per mole of atoms) = 30.4
- D(E_F) (states/eV per atom) = 1.8019
- formation energy from the elements (eV per atom) = 0.28

[3]
The following is a GGA-PBE calculation of crystalline CaIn2Co2 at its relaxed geometry, from Alexandria via LeMat-Bulk.

Geometry as POSCAR:
```
CaIn2Co2
1.0
-3.058 0.141 -3.129
3.127 -0.108 -3.061
-0.182 -5.359 -3.126
Ca Co In
1 2 2
Cartesian
0.000 0.000 0.000
-1.603 -2.600 -4.675
1.490 -2.725 -4.641
-0.024 -1.426 -3.103
-0.089 -3.899 -6.213
```

Results
- final energy (eV per cell) = -21.14
- magnetization (μB/cell) = 0.00
- V (Å³/atom) = 20.61
- E above lowest polymorph (kJ per mole of atoms) = 8.0
- D(E_F) (states/eV per atom) = 0.2614
- formation energy from the elements (eV per atom) = 0.11

[4]
The following is a GGA-PBE calculation of crystalline PBr2N at its relaxed geometry, from Alexandria via LeMat-Bulk.

Geometry as POSCAR:
```
PBr2N
1.0
-1.901 -3.465 9.451
-6.585 -7.393 -4.953
11.698 -4.128 -4.106
P Br N
10 20 10
Cartesian
1.439 -5.962 2.674
0.217 -3.648 6.857
0.866 -10.782 -4.571
2.996 -11.338 -6.464
-1.351 -6.732 2.877
1.774 -9.025 -2.282
-1.563 -5.698 5.650
4.776 -9.288 -5.258
4.564 -8.254 -2.485
2.347 -4.204 4.963
1.698 -11.057 3.362
6.754 -9.038 -6.237
7.692 -6.871 5.788
5.656 -9.092 -0.757
1.683 -10.422 -0.561
-2.143 -8.783 3.043
-3.845 -9.670 -1.018
3.185 -7.266 2.360
-1.148 -10.000 -4.992
5.356 -6.203 -2.651
0.028 -7.720 -1.968
-4.479 -8.115 -5.395
1.530 -4.564 0.953
9.986 -6.106 -1.529
4.361 -4.986 5.384
-6.773 -8.880 1.922
1.515 -3.929 -2.969
-3.541 -5.949 6.630
-2.443 -5.895 1.150
7.058 -5.316 1.411
-1.009 -4.292 6.098
0.182 -6.915 2.527
4.222 -10.694 -5.705
1.702 -3.929 6.385
5.007 -9.160 -3.703
3.031 -8.072 -2.135
1.510 -11.057 -5.993
1.693 -9.804 -3.650
1.520 -5.182 4.043
-1.794 -5.826 4.096
```

Results
- final energy (eV per cell) = -183.49
- magnetization (μB/cell) = 0.00
- V (Å³/atom) = 33.75
- E_form (uncorrected) (eV per atom) = -0.317
- E above lowest polymorph (kJ per mole of atoms) = 0.0
- D(E_F) (states/eV per atom) = 0.0000